CaNiSb2O8 after structural relaxation. Source: the Alexandria database, functional PBE+U. Values from VASP.

VASP energy, eV per cell: -66.2
Mass density, g/cm³: 5.1
Total magnetization, μB/atom: 0.00
N(E_F), states/eV/cell: 5.98
Space-group type: P-3

Quantum ESPRESSO input file:
```
&SYSTEM
  ibrav = 0, nat = 12, ntyp = 4
/
ATOMIC_SPECIES
Ca 40.08 Ca.upf
Ni 58.69 Ni.upf
Sb 121.76 Sb.upf
O 16.00 O.upf
CELL_PARAMETERS angstrom
5.394 0.000 0.000
-2.697 4.671 0.000
0.000 0.000 6.031
ATOMIC_POSITIONS crystal
Ca 0.000 0.000 0.500
Ni 0.000 0.000 0.000
Sb 0.667 0.333 0.077
Sb 0.333 0.667 0.923
O 0.946 0.650 0.847
O 0.350 0.296 0.847
O 0.704 0.054 0.847
O 0.054 0.350 0.153
O 0.650 0.704 0.153
O 0.296 0.946 0.153
O 0.667 0.333 0.404
O 0.333 0.667 0.596
```